Entry 1:
A relaxed Fe2CoPd6 crystal, computed with PBE.

ΔE_f	0.090	eV per atom
space group	C2/c
total magnetization	20.34	μB/cell

Lattice parameters (Å, degrees): 5.1705 8.3146 8.3140 49.18 96.83 96.82
Each line ends with the local moment (μB).
Atoms (fractional coordinates):
Fe: 0.4777 0.8053 0.6513  3.08
Fe: 0.0223 0.3486 0.1947  3.08
Fe: 0.5223 0.1947 0.3487  3.08
Fe: 0.9777 0.6514 0.8053  3.08
Co: 0.2502 0.2119 0.7881  2.12
Co: 0.7498 0.7881 0.2119  2.12
Pd: 0.6329 0.5436 0.6170  0.32
Pd: 0.8672 0.3830 0.4564  0.32
Pd: 0.3671 0.4564 0.3830  0.32
Pd: 0.1328 0.6170 0.5436  0.32
Pd: 0.8522 0.9561 0.3916  0.36
Pd: 0.6478 0.6084 0.0439  0.36
Pd: 0.1478 0.0439 0.6084  0.36
Pd: 0.3522 0.3916 0.9561  0.36
Pd: 0.1316 0.7919 0.0308  0.32
Pd: 0.3683 0.9692 0.2083  0.32
Pd: 0.8684 0.2081 0.9692  0.32
Pd: 0.6317 0.0308 0.7917  0.32

***

Entry 2:
A relaxed FeCo2Pd3 crystal, computed with PBE.

ΔE_f	0.073	eV per atom
space group	Cmcm
total magnetization	15.23	μB/cell

Lattice parameters (Å, degrees): 4.7150 5.4297 7.0552 112.63 90.00 90.00
Each line ends with the local moment (μB).
Atoms (fractional coordinates):
Fe: 0.7500 0.3526 0.7053  3.00
Fe: 0.2500 0.6474 0.2947  3.00
Co: 0.0000 0.7142 0.0000  1.90
Co: 0.5000 0.2858 0.0000  1.90
Co: 0.0000 0.2858 0.0000  1.90
Co: 0.5000 0.7142 0.0000  1.90
Pd: 0.7500 0.8655 0.7310  0.25
Pd: 0.2500 0.1345 0.2690  0.25
Pd: 0.7500 0.9243 0.3560  0.31
Pd: 0.2500 0.0757 0.6440  0.31
Pd: 0.7500 0.4318 0.3560  0.31
Pd: 0.2500 0.5682 0.6440  0.31

***

Entry 3:
A relaxed Fe2CoPd6 crystal, computed with PBE.

ΔE_f	0.041	eV per atom
space group	C2/m
total magnetization	9.81	μB/cell

Lattice parameters (Å, degrees): 2.8284 7.6706 7.6706 126.50 85.15 85.15
Each line ends with the local moment (μB).
Atoms (fractional coordinates):
Fe: 0.5000 0.8483 0.1517  3.15
Fe: 0.5000 0.1517 0.8483  3.15
Co: 0.0000 0.0000 0.0000  1.92
Pd: 0.8010 0.4936 0.1544  0.27
Pd: 0.1990 0.5064 0.8456  0.27
Pd: 0.6789 0.6786 0.6786  0.28
Pd: 0.8010 0.1544 0.4936  0.27
Pd: 0.1990 0.8456 0.5064  0.27
Pd: 0.3211 0.3214 0.3214  0.28

***

Entry 4:
A relaxed FeCo2PdRu crystal, computed with PBE.

ΔE_f	1.779	eV per atom
space group	P4/mmm
total magnetization	9.77	μB/cell

Lattice parameters (Å, degrees): 4.4637 4.8080 4.4637 90.00 90.00 90.00
Each line ends with the local moment (μB).
Atoms (fractional coordinates):
Ru: 0.0000 0.5000 0.0000  1.73
Co: 0.0000 0.0000 0.5000  2.46
Co: 0.5000 0.0000 0.0000  1.66
Fe: 0.5000 0.5000 0.5000  3.34
Pd: 0.0000 0.0000 0.0000  0.59

***

Entry 5:
A relaxed FeCo2PdSe6 crystal, computed with PBE.

E_form (uncorrected)	-0.2401	eV per atom
space group	R3
total magnetization	0.23	μB/cell

Lattice parameters (Å, degrees): 6.1651 6.1660 6.4432 61.43 61.42 59.99
Each line ends with the local moment (μB).
Atoms (fractional coordinates):
Fe: 0.3137 0.3138 0.0587  0.48
Co: 0.5187 0.5190 0.4437  -0.14
Co: 0.0134 0.0134 0.9596  -0.08
Pd: 0.8144 0.8142 0.5570  -0.02
Se: 0.6060 0.2376 0.2406  0.00
Se: 0.2378 0.9159 0.2403  0.00
Se: 0.9158 0.6062 0.2403  0.00
Se: 0.3931 0.7183 0.7586  -0.01
Se: 0.7186 0.1302 0.7582  -0.01
Se: 0.1302 0.3930 0.7583  -0.01

***

Entry 6:
A relaxed Fe2CoPdSe6 crystal, computed with PBE.

E_form (uncorrected)	-0.2138	eV per atom
space group	C2/c
total magnetization	0.00	μB/cell

Lattice parameters (Å, degrees): 6.2012 7.8907 7.8907 96.50 75.74 75.74
Atoms (fractional coordinates):
Fe: 0.2852 0.7263 0.5226
Fe: 0.2148 0.4774 0.2737
Fe: 0.7148 0.2737 0.4774
Fe: 0.7852 0.5226 0.7263
Co: 0.2500 0.9223 0.0777
Co: 0.7500 0.0777 0.9223
Pd: 0.2500 0.2539 0.7461
Pd: 0.7500 0.7461 0.2539
Se: 0.1631 0.9467 0.7898
Se: 0.3369 0.2102 0.0533
Se: 0.8369 0.0533 0.2102
Se: 0.6631 0.7898 0.9467
Se: 0.3279 0.9317 0.3494
Se: 0.1721 0.6506 0.0683
Se: 0.6721 0.0683 0.6506
Se: 0.8279 0.3494 0.9317
Se: 0.9335 0.6929 0.5178
Se: 0.5665 0.4822 0.3071
Se: 0.0665 0.3071 0.4822
Se: 0.4335 0.5178 0.6929

***

Entry 7:
A relaxed PmFe2Co2 crystal, computed with PBE.

ΔE_f	0.009	eV per atom
space group	I4/mmm
total magnetization	13.67	μB/cell

Lattice parameters (Å, degrees): 3.9651 3.9651 10.2639 101.14 101.14 90.00
Each line ends with the local moment (μB).
Atoms (fractional coordinates):
Pm: 0.6271 0.6271 0.2543  -0.25
Pm: 0.3729 0.3729 0.7457  -0.25
Fe: 0.0000 0.5000 0.0000  2.56
Fe: 0.1864 0.1864 0.3729  2.28
Fe: 0.5000 0.0000 0.0000  2.56
Fe: 0.8136 0.8136 0.6271  2.28
Co: 0.7500 0.2500 0.5000  1.37
Co: 0.9330 0.9330 0.8660  1.11
Co: 0.0670 0.0670 0.1340  1.11
Co: 0.2500 0.7500 0.5000  1.37

***

Entry 8:
A relaxed PmFeCo10 crystal, computed with PBE.

ΔE_f	0.109	eV per atom
space group	Pmmm
total magnetization	19.11	μB/cell

Lattice parameters (Å, degrees): 4.0357 4.7319 8.3771 90.00 90.00 90.00
Each line ends with the local moment (μB).
Atoms (fractional coordinates):
Pm: 0.0000 0.5000 0.5000  -0.26
Fe: 0.0000 0.0000 0.0000  3.10
Co: 0.0000 0.0000 0.2927  1.59
Co: 0.0000 0.5000 0.8523  1.67
Co: 0.0000 0.5000 0.1477  1.67
Co: 0.0000 0.0000 0.7073  1.59
Co: 0.5000 0.0000 0.5000  1.61
Co: 0.5000 0.5000 0.0000  1.75
Co: 0.5000 0.2462 0.2413  1.69
Co: 0.5000 0.7538 0.7587  1.69
Co: 0.5000 0.7538 0.2413  1.69
Co: 0.5000 0.2462 0.7587  1.69